[1]
This record from the Alexandria database describes a relaxed structure of TlSb3. The functional is PBE.

Its uncorrected energy is -3.4795 eV per atom. The symmetry is P4/mmm. As for the density of states at the Fermi level: 2.829 states/eV per cell. The uncorrected formation energy comes out at 0.204 eV per atom.

a b c (Å): 3.393 3.393 10.033
angles (deg): 90.00 90.00 90.00
Fractional positions:
Tl (0.000, 0.000, 0.000)
Sb (0.000, 0.000, 0.500)
Sb (0.500, 0.500, 0.269)
Sb (0.500, 0.500, 0.731)

[2]
This record from the Alexandria database describes a relaxed structure of TlSb. The functional is PBE.

Its uncorrected energy is -2.9603 eV per atom. The symmetry is Fddd. As for the density of states at the Fermi level: 0.441 states/eV per cell. The uncorrected formation energy comes out at 0.284 eV per atom.

a b c (Å): 9.257 8.342 8.013
angles (deg): 68.91 57.22 53.86
Fractional positions:
Tl (0.038, 0.712, 0.038)
Tl (0.288, 0.962, 0.288)
Tl (0.712, 0.038, 0.712)
Tl (0.962, 0.288, 0.962)
Sb (0.038, 0.038, 0.712)
Sb (0.288, 0.288, 0.962)
Sb (0.712, 0.712, 0.038)
Sb (0.962, 0.962, 0.288)

[3]
This record from the Alexandria database describes a relaxed structure of TlSb. The functional is PBE.

Its uncorrected energy is -3.2069 eV per atom. The symmetry is P2_1/m. As for the density of states at the Fermi level: 1.763 states/eV per cell. The uncorrected formation energy comes out at 0.037 eV per atom.

a b c (Å): 3.327 5.409 6.852
angles (deg): 90.00 93.55 90.00
Fractional positions:
Tl (0.106, 0.250, 0.350)
Tl (0.894, 0.750, 0.650)
Sb (0.485, 0.250, 0.890)
Sb (0.515, 0.750, 0.110)

[4]
This record from the Alexandria database describes a relaxed structure of TlSb. The functional is PBE.

Its uncorrected energy is -3.1576 eV per atom. The symmetry is I4/mmm. As for the density of states at the Fermi level: 6.002 states/eV per cell. The uncorrected formation energy comes out at 0.087 eV per atom.

a b c (Å): 12.779 12.779 4.071
angles (deg): 90.00 90.00 90.00
Fractional positions:
Tl (0.000, 0.348, 0.000)
Tl (0.000, 0.652, 0.000)
Tl (0.152, 0.500, 0.500)
Tl (0.348, 0.000, 0.000)
Tl (0.500, 0.152, 0.500)
Tl (0.500, 0.848, 0.500)
Tl (0.652, 0.000, 0.000)
Tl (0.848, 0.500, 0.500)
Sb (0.195, 0.195, 0.000)
Sb (0.195, 0.805, 0.000)
Sb (0.305, 0.305, 0.500)
Sb (0.305, 0.695, 0.500)
Sb (0.695, 0.305, 0.500)
Sb (0.695, 0.695, 0.500)
Sb (0.805, 0.195, 0.000)
Sb (0.805, 0.805, 0.000)